1.
Compound: ScInNiSe3
Source: OQMD
Functional: PBE
Structure: optimized geometry

POSCAR file:
```
ScInNiSe3
1.0
11.8157 0.0000 0.0000
0.0000 3.8070 0.0000
0.0000 0.0000 11.2927
Sc In Ni Se
4 4 4 12
Direct
0.0236 0.2500 0.1806
0.4764 0.7500 0.6806
0.5236 0.2500 0.3194
0.9764 0.7500 0.8194
0.1871 0.2500 0.5179
0.3129 0.7500 0.0179
0.6871 0.2500 0.9821
0.8129 0.7500 0.4821
0.2183 0.7500 0.3572
0.2817 0.2500 0.8572
0.7183 0.7500 0.1428
0.7817 0.2500 0.6428
0.0191 0.7500 0.3506
0.0983 0.2500 0.9396
0.2474 0.7500 0.7094
0.2526 0.2500 0.2094
0.4017 0.7500 0.4396
0.4809 0.2500 0.8506
0.5191 0.7500 0.1494
0.5983 0.2500 0.5604
0.7474 0.7500 0.7906
0.7526 0.2500 0.2906
0.9017 0.7500 0.0604
0.9809 0.2500 0.6494
```

For the offset from the most stable computed form, the calculation gives 11.5 kJ/mol of formula units. As for the size of the total moment: 0.004 μB/f.u.

2.
Compound: SrAsPd
Source: OQMD
Functional: PBE
Structure: optimized geometry

POSCAR file:
```
SrAsPd
1.0
8.2621 0.0000 0.0000
-4.1310 7.1552 0.0000
0.0000 0.0000 3.5014
Sr As Pd
3 3 3
Direct
0.0000 0.2857 0.0000
0.2857 0.0000 0.0000
0.7143 0.7143 0.0000
0.0000 0.0000 0.5000
0.3333 0.6667 0.0000
0.6667 0.3333 0.0000
0.0000 0.5932 0.5000
0.4068 0.4068 0.5000
0.5932 0.0000 0.5000
```

For the total energy, the calculation gives -38.26 eV for the cell shown.

3.
Compound: Hf2NbBi
Source: OQMD
Functional: PBE
Structure: optimized geometry

POSCAR file:
```
Hf2NbBi
1.0
6.9868 0.0000 0.0000
0.0000 6.9868 0.0000
0.0000 0.0000 6.9868
Hf Nb Bi
8 4 4
Direct
0.0000 0.0000 0.0000
0.0000 0.5000 0.5000
0.2500 0.2500 0.2500
0.2500 0.7500 0.7500
0.5000 0.0000 0.5000
0.5000 0.5000 0.0000
0.7500 0.2500 0.7500
0.7500 0.7500 0.2500
0.2500 0.2500 0.7500
0.2500 0.7500 0.2500
0.7500 0.2500 0.2500
0.7500 0.7500 0.7500
0.0000 0.0000 0.5000
0.0000 0.5000 0.0000
0.5000 0.0000 0.0000
0.5000 0.5000 0.5000
```

For the total energy, the calculation gives -132.41 eV for the cell shown. As for the size of the total moment: 0.174 μB/f.u.

4.
Compound: KThGe
Source: OQMD
Functional: PBE
Structure: optimized geometry

POSCAR file:
```
KThGe
1.0
7.2954 0.0000 0.0000
0.0000 7.2954 0.0000
0.0000 0.0000 7.2954
K Th Ge
4 4 4
Direct
0.0000 0.0000 0.0000
0.0000 0.5000 0.5000
0.5000 0.0000 0.5000
0.5000 0.5000 0.0000
0.0000 0.0000 0.5000
0.0000 0.5000 0.0000
0.5000 0.0000 0.0000
0.5000 0.5000 0.5000
0.2500 0.2500 0.2500
0.2500 0.7500 0.7500
0.7500 0.2500 0.7500
0.7500 0.7500 0.2500
```

For the offset from the most stable computed form, the calculation gives 0.0 kJ/mol of formula units. As for the size of the total moment: 0.001 μB/f.u.

5.
Compound: Re2NiSn
Source: OQMD
Functional: PBE
Structure: optimized geometry

POSCAR file:
```
Re2NiSn
1.0
4.4514 0.0000 0.0000
0.0000 5.6860 0.0000
0.0000 0.0000 9.6453
Re Ni Sn
8 4 4
Direct
0.0000 0.0000 0.0000
0.0000 0.2370 0.7198
0.0000 0.2630 0.2198
0.0000 0.5000 0.5000
0.0000 0.7370 0.2198
0.0000 0.7630 0.7198
0.5000 0.0000 0.6468
0.5000 0.5000 0.1468
0.0000 0.0000 0.4821
0.0000 0.5000 0.9821
0.5000 0.0000 0.1527
0.5000 0.5000 0.6527
0.5000 0.2475 0.4010
0.5000 0.2525 0.9010
0.5000 0.7475 0.9010
0.5000 0.7525 0.4010
```

For the total energy, the calculation gives -132.25 eV for the cell shown. As for the size of the total moment: 0.022 μB/f.u.

6.
Compound: TaBeAsW
Source: OQMD
Functional: PBE
Structure: optimized geometry

POSCAR file:
```
TaBeAsW
1.0
6.1449 0.0000 0.0000
0.0000 6.1449 0.0000
0.0000 0.0000 6.1449
Ta Be As W
4 4 4 4
Direct
0.0000 0.0000 0.0000
0.0000 0.5000 0.5000
0.5000 0.0000 0.5000
0.5000 0.5000 0.0000
0.2500 0.2500 0.7500
0.2500 0.7500 0.2500
0.7500 0.2500 0.2500
0.7500 0.7500 0.7500
0.2500 0.2500 0.2500
0.2500 0.7500 0.7500
0.7500 0.2500 0.7500
0.7500 0.7500 0.2500
0.0000 0.0000 0.5000
0.0000 0.5000 0.0000
0.5000 0.0000 0.0000
0.5000 0.5000 0.5000
```

For the offset from the most stable computed form, the calculation gives 0.0 kJ/mol of formula units. As for the size of the total moment: 0.000 μB/f.u.